Here is a geometry-optimized CsCrCu2H structure from Alexandria. Energies are from PBE-GGA.

Density = 4.154 g cm⁻³
Total DFT energy (no corrections) = -2.67 eV/atom

Cell and atoms, written as extended XYZ:
```
5
Lattice="5.666 0.000 0.000 0.000 3.897 0.000 0.000 0.000 5.666" Properties=species:S:1:pos:R:3 pbc="T T T"
Cu 0.000 0.000 2.833
Cu 2.833 0.000 0.000
H 0.000 1.948 0.000
Cs 0.000 0.000 0.000
Cr 2.833 1.948 2.833
```